A plane-wave DFT calculation with PBE was carried out for crystalline AcNiSn2Hg at its relaxed geometry.

Unit cell a=4.9338 b=4.9338 c=5.7489 alpha=90.00 beta=90.00 gamma=90.00
With the nearest neighbours (Å) after each atom.
Element x y z (fractional)
Ac1 0.0000 0.0000 0.4953  1 Ni 2.71
Ni1 0.0000 0.0000 0.0244  4 Sn 2.50, 1 Ac 2.71
Sn1 0.0000 0.5000 0.9565  2 Ni 2.50
Sn2 0.5000 0.0000 0.9565  2 Ni 2.50
Hg1 0.5000 0.5000 0.5673  4 Sn 3.33, 4 Ac 3.51

- DFT formation energy (eV per atom) = -0.301
- SG = P4mm (99)

A plane-wave DFT calculation with PBE was carried out for crystalline Rb2Li2MgCl6 at its relaxed geometry.

Unit cell a=7.2986 b=7.2078 c=7.6493 alpha=112.81 beta=90.00 gamma=120.42
With the nearest neighbours (Å) after each atom.
Element x y z (fractional)
Rb1 0.7073 0.4146 0.1692  5 Cl 3.31-3.54
Rb2 0.2927 0.5854 0.8308  5 Cl 3.31-3.54
Li1 0.9267 0.8533 0.7140  3 Cl 2.26-2.27
Li2 0.0733 0.1467 0.2860  3 Cl 2.26-2.27
Mg1 0.5000 0.0000 0.5000  6 Cl 2.54-2.55
Cl1 0.7261 0.4522 0.6146  1 Li 2.26
Cl2 0.2239 0.9267 0.2365  1 Li 2.27
Cl3 0.2971 0.0733 0.7635  1 Li 2.27
Cl4 0.7761 0.0733 0.7635  1 Li 2.27
Cl5 0.7029 0.9267 0.2365  1 Li 2.27
Cl6 0.2739 0.5478 0.3854  1 Li 2.26

- uncorrected formation energy (eV per atom) = -1.842
- SG = C2/m (12)

A plane-wave DFT calculation with PBE was carried out for crystalline TbScAgPb at its relaxed geometry.

Unit cell a=5.1612 b=5.1612 c=5.1612 alpha=60.00 beta=60.00 gamma=60.00
With the nearest neighbours (Å) after each atom.
Element x y z (fractional)
Pb1 0.7500 0.7500 0.7500  4 Sc 3.16, 4 Tb 3.16
Sc1 0.5000 0.5000 0.5000  4 Ag 3.16, 4 Pb 3.16
Tb1 0.0000 0.0000 0.0000  4 Pb 3.16, 4 Ag 3.16
Ag1 0.2500 0.2500 0.2500  4 Tb 3.16, 4 Sc 3.16

- DFT formation energy (eV per atom) = -0.357
- SG = F-43m (216)

A plane-wave DFT calculation with PBE was carried out for crystalline PrSi2NiIr at its relaxed geometry.

Unit cell a=4.0788 b=4.0788 c=5.8287 alpha=110.48 beta=110.48 gamma=90.00
With the nearest neighbours (Å) after each atom.
Element x y z (fractional)
Pr1 0.0000 0.0000 0.0000  8 Si 3.15, 4 Ir 3.25, 4 Ni 3.25
Si1 0.6258 0.6258 0.2517  2 Ni 2.40, 2 Ir 2.40, 1 Si 2.55
Si2 0.3742 0.3742 0.7483  2 Ni 2.40, 2 Ir 2.40, 1 Si 2.55
Ni1 0.2500 0.7500 0.5000  4 Si 2.40
Ir1 0.7500 0.2500 0.5000  4 Si 2.40

- uncorrected formation energy (eV per atom) = -0.874
- SG = I-4m2 (119)